SmDy2Y3S6 | Alexandria via LeMat-Bulk | PBE-GGA | relaxed; E_tot = -6.843 eV per atom; raw formation energy = -2.003 eV per atom; M_tot = 0.000 μB per atom; DOS(E_F) = 4.98 states/eV/f.u.
1.0
3.3955 -5.9052 0.0000
3.3955 5.9052 0.0000
-2.2694 0.0000 6.4137
Sm Dy Y S
1 2 3 6
direct
0.0000 0.0000 0.0000
0.3338 0.6662 0.0000
0.6662 0.3338 0.0000
0.1637 0.8363 0.5000
0.5000 0.5000 0.5000
0.8363 0.1637 0.5000
0.0842 0.4235 0.2527
0.2556 0.2556 0.7493
0.4235 0.0842 0.2527
0.5765 0.9158 0.7473
0.7444 0.7444 0.2507
0.9158 0.5765 0.7473